First-principles (PBE+U) data for a relaxed CoIOF2 crystal, as listed in Alexandria.

```
CoIOF2
1.0
4.9008 0.0000 0.0000
0.0000 4.9008 0.0000
0.0000 0.0000 4.0229
F I Co O
2 1 1 1
direct
0.0000 0.5000 0.0000 F
0.5000 0.0000 0.0000 F
0.0000 0.0000 0.0000 I
0.5000 0.5000 0.5000 Co
0.0000 0.0000 0.5000 O
```

Properties
Crystal system: tetragonal
Energy above the most stable polymorph in this dataset (meV/atom): 845.6
Calculated total energy (eV per atom): -3.0647